(1)
Pm5ThC4: optimized geometry, PBE.

The structure belongs to space group C2/m (No. 12); the cell edges are 16.485, 3.710 and 7.611 Å and the angles 90.00°, 102.43° and 90.00°. Symmetry generates all atoms from Pm at (0.000, 0.000, 0.000), Pm at (0.159, 0.500, 0.805), Pm at (0.167, 0.500, 0.354), Th at (0.000, 0.000, 0.500), C at (0.004, 0.500, 0.752) and C at (0.166, 0.000, 0.582).

The calculation puts the energy at -69.2 eV per formula unit. The theoretical density comes out at 7.34 g/cm³. The calculation puts the calculated formation energy at -0.11 eV/atom.



(2)
Pm2Th2C3: optimized geometry, PBE.

The structure belongs to space group I2_13 (No. 199); the cell edges are 8.147, 8.147 and 8.147 Å and the angles 90.00°, 90.00° and 90.00°. Symmetry generates all atoms from Pm at (0.053, 0.447, 0.553), Th at (0.202, 0.202, 0.202) and C at (0.000, 0.250, 0.852).

The calculation puts the energy at -52.1 eV per formula unit. The theoretical density comes out at 9.71 g/cm³. The calculation puts the calculated formation energy at -0.02 eV/atom. The distance to the lowest polymorph of the same formula comes out at 181 meV/atom.



(3)
PmTh3C8: optimized geometry, PBE.

The structure belongs to space group Fmm2 (No. 42); the cell edges are 9.839, 9.856 and 8.259 Å and the angles 90.00°, 90.00° and 90.00°. Symmetry generates all atoms from Pm at (0.000, 0.000, 0.000), Th at (0.000, 0.000, 0.501), Th at (0.250, 0.250, 0.253), C at (0.000, 0.163, 0.257), C at (0.000, 0.250, 0.134), C at (0.163, 0.000, 0.745) and C at (0.247, 0.000, 0.366).

The calculation puts the energy at -99.7 eV per formula unit. The theoretical density comes out at 7.77 g/cm³. The calculation puts the calculated formation energy at 0.09 eV/atom.



energy of number 2 (Pm2Th2C3)? -52.1 eV per formula unit



Which value of theoretical density does entry 1 give? 7.34 g/cm³



Among the records above, which one has the highest calculated formation energy? PmTh3C8



Which of these has the lowest calculated formation energy? Pm5ThC4